# PBE MoOs7, relaxed
# Symmetry ... Fm-3m
# VASP energy ... -11.07 eV per atom
# Energy relative to the elements ... 0.11 eV/atom
# Spin magnetization ... 0.000 μB per atom
data_MoOs7
_cell_length_a 5.476
_cell_length_b 5.476
_cell_length_c 5.476
_cell_angle_alpha 60.00
_cell_angle_beta 60.00
_cell_angle_gamma 60.00
_symmetry_space_group_name_H-M 'P 1'
_symmetry_Int_Tables_number 1
loop_
_symmetry_equiv_pos_as_xyz
'x,y,z'
loop_
_atom_site_label
_atom_site_type_symbol
_atom_site_fract_x
_atom_site_fract_y
_atom_site_fract_z
_atom_site_occupancy
Mo1 Mo 0.000 0.000 0.000 1
Os1 Os 0.500 0.000 0.000 1
Os2 Os 0.000 0.000 0.500 1
Os3 Os 0.500 0.000 0.500 1
Os4 Os 0.000 0.500 0.500 1
Os5 Os 0.500 0.500 0.000 1
Os6 Os 0.000 0.500 0.000 1
Os7 Os 0.500 0.500 0.500 1